Entry 1:
The following is a PBE-GGA calculation of Pm12GeC4 after structural relaxation, from Alexandria.

Lattice parameters (Å, degrees): 9.734 9.734 9.734 90.00 90.00 90.00
Space group Im-3 (No. 204)
Asymmetric unit:
Pm 0.000 0.303 0.182 (multiplicity 24)
Ge 0.000 0.000 0.000 (multiplicity 2)
C 0.250 0.250 0.250 (multiplicity 8)

Computed properties:
**ΔH_f (0 K)**: -22 meV per atom

---

Entry 2:
The following is a PBE-GGA calculation of LaNiW2 after structural relaxation, from Alexandria.

Lattice parameters (Å, degrees): 2.8960 2.8960 29.6413 90.00 90.00 120.00
Space group R3m (No. 160, hexagonal axes)
Asymmetric unit:
La 0.0000 0.0000 0.0000 (multiplicity 3)
Ni 0.0000 0.0000 0.2440 (multiplicity 3)
W 0.0000 0.0000 0.5120 (multiplicity 3)
W 0.0000 0.0000 0.7647 (multiplicity 3)

Computed properties:
**Energy above the most stable polymorph in this dataset**: 355 meV per atom
**ΔH_f (0 K)**: 663 meV per atom

---

Entry 3:
The following is a PBE-GGA calculation of ThInRuAu after structural relaxation, from Alexandria.

Lattice parameters (Å, degrees): 7.009 7.009 7.009 90.00 90.00 90.00
Space group F-43m (No. 216)
Asymmetric unit:
Th 0.000 0.000 0.000 (multiplicity 4)
In 0.000 0.000 0.500 (multiplicity 4)
Ru 0.250 0.250 0.250 (multiplicity 4)
Au 0.250 0.250 0.750 (multiplicity 4)

Computed properties:
**ΔH_f (0 K)**: -282 meV per atom

---

Entry 4:
The following is a PBE-GGA calculation of Dy2Y3Tl4 after structural relaxation, from Alexandria.

Lattice parameters (Å, degrees): 7.213 15.781 9.459 90.00 90.00 90.00
Space group Cmce (No. 64)
Asymmetric unit:
Dy 0.000 0.109 0.062 (multiplicity 8)
Y 0.000 0.000 0.500 (multiplicity 4)
Y 0.250 0.210 0.750 (multiplicity 8)
Tl 0.000 0.194 0.465 (multiplicity 8)
Tl 0.250 0.013 0.750 (multiplicity 8)

Computed properties:
**Energy above the most stable polymorph in this dataset**: 92 meV per atom
**ΔH_f (0 K)**: -209 meV per atom

---

Entry 5:
The following is a PBE-GGA calculation of RbSiNi2Os after structural relaxation, from Alexandria.

Lattice parameters (Å, degrees): 4.828 4.828 4.612 90.00 90.00 90.00
Space group P4/mmm (No. 123)
Asymmetric unit:
Rb 0.000 0.000 0.000 (multiplicity 1)
Si 0.500 0.500 0.000 (multiplicity 1)
Ni 0.000 0.500 0.500 (multiplicity 2)
Os 0.500 0.500 0.500 (multiplicity 1)

Computed properties:
**E_form (uncorrected)**: 746 meV per atom

---

Entry 6:
The following is a PBE-GGA calculation of CsHg2Sb2 after structural relaxation, from Alexandria.

Lattice parameters (Å, degrees): 14.640 4.212 5.964 90.00 100.95 90.00
Space group C2/m (No. 12)
Asymmetric unit:
Cs 0.000 0.000 0.000 (multiplicity 2)
Hg 0.110 0.500 0.537 (multiplicity 4)
Sb 0.249 0.500 0.169 (multiplicity 4)

Computed properties:
**Energy above the most stable polymorph in this dataset**: 20 meV per atom
**E_form (uncorrected)**: -182 meV per atom

---

Entry 7:
The following is a PBE-GGA calculation of CoAuBr2 after structural relaxation, from Alexandria.

Lattice parameters (Å, degrees): 5.181 3.361 6.818 90.00 111.82 90.00
Space group P2/m (No. 10)
Asymmetric unit:
Co 0.000 0.000 0.000 (multiplicity 1)
Au 0.500 0.000 0.000 (multiplicity 1)
Br 0.125 0.500 0.254 (multiplicity 2)

Computed properties:
**Energy above the most stable polymorph in this dataset**: 80 meV per atom
**E_form (uncorrected)**: 120 meV per atom

---

Entry 8:
The following is a PBE-GGA calculation of NiHgTe2 after structural relaxation, from Alexandria.

Lattice parameters (Å, degrees): 3.8606 3.8606 15.5579 90.00 90.00 120.00
Space group P6_3/mmc (No. 194)
Asymmetric unit:
Ni 0.0000 0.0000 0.0000 (multiplicity 2)
Hg 0.3333 0.6667 0.2500 (multiplicity 2)
Te 0.3333 0.6667 0.5853 (multiplicity 4)

Computed properties:
**E_form (uncorrected)**: -143 meV per atom

---

Entry 9:
The following is a PBE-GGA calculation of ZrAl2Ga2 after structural relaxation, from Alexandria.

Lattice parameters (Å, degrees): 7.440 7.440 3.228 90.00 90.00 90.00
Space group P4/mbm (No. 127)
Asymmetric unit:
Zr 0.000 0.000 0.000 (multiplicity 2)
Al 0.166 0.334 0.500 (multiplicity 4)
Ga 0.132 0.632 0.000 (multiplicity 4)

Computed properties:
**ΔH_f (0 K)**: -186 meV per atom

---

Entry 10:
The following is a PBE-GGA calculation of Au3C after structural relaxation, from Alexandria.

Lattice parameters (Å, degrees): 3.044 4.999 5.574 85.04 74.37 72.58
Space group P-1 (No. 2)
Asymmetric unit:
Au 0.000 0.000 0.000 (multiplicity 1)
Au 0.393 0.443 0.772 (multiplicity 2)
C 0.000 0.500 0.500 (multiplicity 1)

Computed properties:
**Energy above the most stable polymorph in this dataset**: 563 meV per atom
**ΔH_f (0 K)**: 1122 meV per atom

---

Entry 11:
The following is a PBE-GGA calculation of Mg5In4Pd after structural relaxation, from Alexandria.

Lattice parameters (Å, degrees): 3.483 3.483 17.940 90.00 90.00 90.00
Space group P4/mmm (No. 123)
Asymmetric unit:
Mg 0.000 0.000 0.000 (multiplicity 1)
Mg 0.000 0.000 0.217 (multiplicity 2)
Mg 0.000 0.000 0.422 (multiplicity 2)
In 0.500 0.500 0.108 (multiplicity 2)
In 0.500 0.500 0.320 (multiplicity 2)
Pd 0.500 0.500 0.500 (multiplicity 1)

Computed properties:
**ΔH_f (0 K)**: -204 meV per atom

---

Entry 12:
The following is a PBE-GGA calculation of Nd3TeAu after structural relaxation, from Alexandria.

Lattice parameters (Å, degrees): 7.728 4.310 9.576 90.00 93.35 90.00
Space group P2_1/m (No. 11)
Asymmetric unit:
Nd 0.017 0.250 0.181 (multiplicity 2)
Nd 0.214 0.250 0.557 (multiplicity 2)
Nd 0.481 0.250 0.215 (multiplicity 2)
Te 0.267 0.250 0.916 (multiplicity 2)
Au 0.248 0.750 0.342 (multiplicity 2)

Computed properties:
**E_form (uncorrected)**: -790 meV per atom

---

Number 1: total energy -197.778 eV for the cell shown, theoretical density 6.70 g/cm³. Number 2: total energy -101.895 eV for the cell shown, theoretical density 13.08 g/cm³. Number 3: total energy -95.353 eV for the cell shown, theoretical density 12.44 g/cm³. Number 4: total energy -159.754 eV for the cell shown, theoretical density 8.69 g/cm³. Number 5: total energy -25.451 eV for the cell shown, theoretical density 6.51 g/cm³. Number 6: total energy -21.227 eV for the cell shown, theoretical density 7.15 g/cm³. Number 7: total energy -13.250 eV for the cell shown, theoretical density 6.26 g/cm³. Number 8: total energy -25.876 eV for the cell shown, theoretical density 8.51 g/cm³. Number 9: total energy -46.030 eV for the cell shown, theoretical density 5.29 g/cm³. Number 10: total energy -14.567 eV for the cell shown, theoretical density 12.84 g/cm³. Number 11: total energy -26.158 eV for the cell shown, theoretical density 5.24 g/cm³. Number 12: total energy -49.341 eV for the cell shown, theoretical density 7.90 g/cm³.